VASP calculation (PBE-GGA) on a relaxed structure of ReAgHg.

Geometry as extended XYZ:
```
3
Lattice="7.078 0.009 0.000 5.974 3.796 0.000 -6.526 -1.903 1.972" Properties=species:S:1:pos:R:3 pbc="T T T"
Hg 4.319 1.259 0.000
Re 8.657 2.524 0.000
Ag 0.075 0.022 0.000
```

Symmetry: I4mm
E_form (eV/atom): 0.72
Total magnetization (Bohr magnetons per cell): 0.0